(1)
DFT (PBE) results for an optimized crystal structure of KNa2US4.

## Properties
The spin magnetization comes out at 1.00 μB per formula unit. The calculation puts the calculated total energy at -41.5 eV per cell.

Cell lengths 5.577, 5.577, 7.767 Å; angles 111.04, 111.04, 90.00 degrees
Fractional positions:
K 0.500 0.500 0.000
S 0.752 0.752 0.504
S 0.936 0.436 0.873
S 0.564 0.064 0.127
S 0.248 0.248 0.496
Na 0.000 0.000 0.000
Na 0.250 0.750 0.500
U 0.750 0.250 0.500

***

(2)
DFT (PBE) results for an optimized crystal structure of YGa2Cu.

## Properties
The spin magnetization comes out at 0.00 μB per formula unit. The calculation puts the calculated total energy at -18.1 eV per cell. For the energy of formation, the calculation gives -0.367 eV/atom.

Cell lengths 4.232, 4.193, 4.193 Å; angles 90.00, 90.00, 90.00 degrees
Fractional positions:
Ga 0.000 0.500 0.000
Ga 0.000 0.000 0.500
Cu 0.500 0.500 0.500
Y 0.500 0.000 0.000

***

(3)
DFT (PBE) results for an optimized crystal structure of YNb2B6.

## Properties
The spin magnetization comes out at 0.00 μB per formula unit. The calculation puts the calculated total energy at -71.4 eV per cell. For the energy of formation, the calculation gives -0.521 eV/atom. The excess energy over the best structure of this formula in the dataset is 173 meV per atom.

Cell lengths 3.225, 5.837, 5.837 Å; angles 77.46, 73.96, 73.96 degrees
Fractional positions:
B 0.804 0.960 0.432
B 0.000 0.846 0.154
B 0.196 0.040 0.568
B 0.000 0.154 0.846
B 0.804 0.432 0.960
B 0.196 0.568 0.040
Nb 0.338 0.162 0.162
Nb 0.662 0.838 0.838
Y 0.500 0.500 0.500

***

(4)
DFT (PBE) results for an optimized crystal structure of InCo2Cl.

## Properties
The spin magnetization comes out at 1.99 μB per formula unit. The calculation puts the calculated total energy at -15.6 eV per cell. The excess energy over the best structure of this formula in the dataset is 637 meV per atom.

Cell lengths 4.500, 4.500, 4.500 Å; angles 60.00, 60.00, 60.00 degrees
Fractional positions:
Cl 0.500 0.500 0.500
Co 0.000 0.000 0.000
Co 0.250 0.250 0.250
In 0.750 0.750 0.750

***

(5)
DFT (PBE) results for an optimized crystal structure of Pr4Dy3Ho.

## Properties
The spin magnetization comes out at 0.00 μB per formula unit. The calculation puts the calculated total energy at -74.5 eV per cell. For the energy of formation, the calculation gives 0.031 eV/atom. The excess energy over the best structure of this formula in the dataset is 0 meV per atom.

Cell lengths 6.331, 7.358, 11.687 Å; angles 90.00, 90.00, 90.00 degrees
Fractional positions:
Dy 0.481 0.380 0.250
Dy 0.648 0.621 0.000
Dy 0.981 0.620 0.250
Dy 0.981 0.620 0.750
Dy 0.148 0.379 0.500
Dy 0.481 0.380 0.750
Pr 0.646 0.129 0.500
Pr 0.146 0.871 0.000
Pr 0.483 0.871 0.251
Pr 0.983 0.129 0.249
Pr 0.483 0.871 0.749
Pr 0.983 0.129 0.751
Pr 0.644 0.128 0.000
Pr 0.144 0.872 0.500
Ho 0.148 0.380 0.000
Ho 0.648 0.620 0.500

***

(6)
DFT (PBE) results for an optimized crystal structure of Sr3MgGa.

## Properties
The spin magnetization comes out at 0.00 μB per formula unit. The calculation puts the calculated total energy at -21.0 eV per cell. For the energy of formation, the calculation gives -0.167 eV/atom. The excess energy over the best structure of this formula in the dataset is 0 meV per atom.

Cell lengths 5.753, 5.739, 11.492 Å; angles 90.00, 75.50, 90.00 degrees
Fractional positions:
Ga 0.984 0.250 0.681
Ga 0.665 0.750 0.319
Mg 0.163 0.250 0.323
Mg 0.486 0.750 0.677
Sr 0.898 0.750 0.853
Sr 0.074 0.750 0.501
Sr 0.250 0.750 0.148
Sr 0.750 0.250 0.147
Sr 0.575 0.250 0.499
Sr 0.398 0.250 0.852

***

(7)
DFT (PBE) results for an optimized crystal structure of Cs2Ga2Sn3.

## Properties
The spin magnetization comes out at 0.00 μB per formula unit. The calculation puts the calculated total energy at -20.2 eV per cell. For the energy of formation, the calculation gives -0.056 eV/atom.

Cell lengths 4.210, 6.602, 11.171 Å; angles 119.90, 100.86, 90.00 degrees
Fractional positions:
Sn 0.000 0.000 0.000
Sn 0.742 0.309 0.484
Sn 0.258 0.691 0.516
Cs 0.397 0.357 0.794
Cs 0.603 0.643 0.206
Ga 0.144 0.201 0.288
Ga 0.856 0.799 0.712

***

(8)
DFT (PBE) results for an optimized crystal structure of TlPbF5.

## Properties
The spin magnetization comes out at 0.00 μB per formula unit. The calculation puts the calculated total energy at -29.8 eV per cell.

Cell lengths 4.383, 6.191, 6.191 Å; angles 71.32, 69.26, 69.26 degrees
Fractional positions:
Pb 0.500 0.500 0.500
Tl 0.000 0.000 0.000
F 0.500 0.000 0.000
F 0.000 0.308 0.692
F 0.000 0.692 0.308
F 0.762 0.238 0.238
F 0.238 0.762 0.762

***

(9)
DFT (PBE) results for an optimized crystal structure of LaErHgPb.

## Properties
The spin magnetization comes out at 0.00 μB per formula unit. The calculation puts the calculated total energy at -15.4 eV per cell. For the energy of formation, the calculation gives -0.480 eV/atom. The excess energy over the best structure of this formula in the dataset is 0 meV per atom.

Cell lengths 5.454, 5.454, 5.454 Å; angles 60.00, 60.00, 60.00 degrees
Fractional positions:
Pb 0.250 0.250 0.250
Hg 0.750 0.750 0.750
La 0.500 0.500 0.500
Er 0.000 0.000 0.000

***

(10)
DFT (PBE) results for an optimized crystal structure of LiY2Cl.

## Properties
The spin magnetization comes out at 0.00 μB per formula unit. The calculation puts the calculated total energy at -18.6 eV per cell. The excess energy over the best structure of this formula in the dataset is 152 meV per atom.

Cell lengths 3.582, 3.629, 8.164 Å; angles 90.00, 90.00, 90.00 degrees
Fractional positions:
Cl 0.500 0.250 0.250
Y 0.000 0.250 0.980
Y 0.000 0.250 0.520
Li 0.500 0.750 0.750

***

(11)
DFT (PBE) results for an optimized crystal structure of La3PaN.

## Properties
The spin magnetization comes out at 2.04 μB per formula unit. The calculation puts the calculated total energy at -33.7 eV per cell.

Cell lengths 5.138, 5.138, 5.138 Å; angles 90.00, 90.00, 90.00 degrees
Fractional positions:
Pa 0.500 0.500 0.500
La 0.000 0.500 0.000
La 0.000 0.000 0.500
La 0.500 0.000 0.000
N 0.000 0.000 0.000

***

(12)
DFT (PBE) results for an optimized crystal structure of AgPtW2.

## Properties
The spin magnetization comes out at 0.00 μB per formula unit. The calculation puts the calculated total energy at -33.6 eV per cell. For the energy of formation, the calculation gives 0.295 eV/atom. The excess energy over the best structure of this formula in the dataset is 159 meV per atom.

Cell lengths 3.319, 3.319, 5.959 Å; angles 90.00, 90.00, 90.00 degrees
Fractional positions:
Pt 0.500 0.500 0.753
W 0.500 0.500 0.235
W 0.000 0.000 0.007
Ag 0.000 0.000 0.505

***

(13)
DFT (PBE) results for an optimized crystal structure of Li2GaNi5.

## Properties
The spin magnetization comes out at 0.41 μB per formula unit. The calculation puts the calculated total energy at -36.8 eV per cell. For the energy of formation, the calculation gives -0.133 eV/atom.

Cell lengths 4.890, 4.890, 4.890 Å; angles 108.35, 108.35, 111.73 degrees
Fractional positions:
Li 0.778 0.278 0.500
Li 0.278 0.778 0.500
Ni 0.278 0.278 0.000
Ni 0.778 0.778 0.500
Ni 0.278 0.778 0.000
Ni 0.778 0.278 0.000
Ni 0.278 0.278 0.500
Ga 0.778 0.778 0.000